Tl6Hg7, optimized geometry, DFT PBE; VASP energy = -1.244 eV/atom; formation enthalpy at 0 K = 0.011 eV per atom; total magnetization = 0.00 Bohr magnetons per cell
1.0
-4.6574 -3.7910 -1.1709
-2.4697 -3.2998 4.5217
-9.8942 6.2092 3.2666
Hg Tl
7 6
Direct
0.0919 0.5877 0.2286
0.5877 0.0919 0.2286
0.9081 0.4123 0.7714
0.4123 0.9081 0.7714
0.0919 0.0919 0.2286
0.9081 0.9081 0.7714
0.0000 0.0000 0.0000
0.1657 0.1657 0.5030
0.5464 0.5464 0.3609
0.8343 0.8343 0.4970
0.4536 0.4536 0.6391
0.6500 0.6500 0.0501
0.3500 0.3500 0.9499


Cd2SiTeBr, optimized geometry, DFT PBE; VASP energy = -1.902 eV/atom; formation energy from raw total energies = 0.51 eV per atom; total magnetization = 0.61 Bohr magnetons per cell
1.0
-5.5747 -0.4826 1.7064
1.4219 -3.6128 3.6235
0.8315 4.2605 3.9216
Cd Br Te Si
2 1 1 1
Direct
0.5000 0.0000 0.0000
0.0000 0.0000 0.5000
0.5000 0.5000 0.5000
0.0000 0.0000 0.0000
0.0000 0.5000 0.0000


BeTe3S, optimized geometry, DFT PBE; VASP energy = -2.868 eV/atom; formation energy from raw total energies = 0.59 eV per atom; total magnetization = 0.00 Bohr magnetons per cell; ΔE to the lowest computed polymorph = 0 meV per atom
1.0
-1.4529 -0.0869 4.6994
-0.4907 -4.8891 -0.2421
4.6745 -0.5402 1.4352
Te Be S
3 1 1
Direct
0.0000 0.0000 0.5000
0.0000 0.5000 0.0000
0.5000 0.0000 0.0000
0.0000 0.0000 0.0000
0.5000 0.5000 0.5000


Question: The lowest VASP energy belongs to which entry?
Answer: BeTe3S


Question: The highest VASP energy belongs to which entry?
Answer: Tl6Hg7


Question: Which of these has the lowest VASP energy?
Answer: BeTe3S